# 1
Compound: Sm3GaSe2
Source: the Open Quantum Materials Database
Functional: PBE
Structure: optimized geometry

```
data_Sm3GaSe2
_cell_length_a 7.409
_cell_length_b 7.409
_cell_length_c 7.409
_cell_angle_alpha 147.82
_cell_angle_beta 132.69
_cell_angle_gamma 58.37
_space_group_name_H-M_alt 'P 1'
_space_group_IT_number 1
_space_group_name_Hall 'P 1'
loop_
_atom_site_label
_atom_site_type_symbol
_atom_site_fract_x
_atom_site_fract_y
_atom_site_fract_z
_atom_site_occupancy
Sm1 Sm 0.000 0.000 0.000 1
Sm2 Sm 0.333 0.333 0.000 1
Sm3 Sm 0.667 0.667 0.000 1
Ga1 Ga 0.500 0.000 0.500 1
Se1 Se 0.167 0.667 0.500 1
Se2 Se 0.833 0.333 0.500 1
```

Results
- VASP energy: -5.4778 eV per atom
- Magnetization: 0.0 μB per formula unit



# 2
Compound: TmGaSnSe3
Source: the Open Quantum Materials Database
Functional: PBE
Structure: optimized geometry

```
data_TmGaSnSe3
_cell_length_a 7.279
_cell_length_b 7.279
_cell_length_c 11.324
_cell_angle_alpha 90.00
_cell_angle_beta 90.00
_cell_angle_gamma 147.87
_space_group_name_H-M_alt 'P 1'
_space_group_IT_number 1
_space_group_name_Hall 'P 1'
loop_
_atom_site_label
_atom_site_type_symbol
_atom_site_fract_x
_atom_site_fract_y
_atom_site_fract_z
_atom_site_occupancy
Tm1 Tm 0.000 0.000 0.000 1
Tm2 Tm 0.000 0.000 0.500 1
Ga1 Ga 0.350 0.650 0.750 1
Ga2 Ga 0.650 0.350 0.250 1
Sn1 Sn 0.334 0.666 0.250 1
Sn2 Sn 0.666 0.334 0.750 1
Se1 Se 0.002 0.998 0.750 1
Se2 Se 0.360 0.640 0.504 1
Se3 Se 0.360 0.640 0.996 1
Se4 Se 0.640 0.360 0.004 1
Se5 Se 0.640 0.360 0.496 1
Se6 Se 0.998 0.002 0.250 1
```

Results
- VASP energy: -4.5239 eV per atom
- Magnetization: 0.0 μB per formula unit



# 3
Compound: SrTmGaSe3
Source: the Open Quantum Materials Database
Functional: PBE
Structure: optimized geometry

```
data_SrTmGaSe3
_cell_length_a 7.611
_cell_length_b 7.611
_cell_length_c 10.289
_cell_angle_alpha 90.00
_cell_angle_beta 90.00
_cell_angle_gamma 147.97
_space_group_name_H-M_alt 'P 1'
_space_group_IT_number 1
_space_group_name_Hall 'P 1'
loop_
_atom_site_label
_atom_site_type_symbol
_atom_site_fract_x
_atom_site_fract_y
_atom_site_fract_z
_atom_site_occupancy
Sr1 Sr 0.238 0.762 0.750 1
Sr2 Sr 0.762 0.238 0.250 1
Tm1 Tm 0.000 0.000 0.000 1
Tm2 Tm 0.000 0.000 0.500 1
Ga1 Ga 0.483 0.517 0.250 1
Ga2 Ga 0.517 0.483 0.750 1
Se1 Se 0.106 0.894 0.250 1
Se2 Se 0.362 0.638 0.044 1
Se3 Se 0.362 0.638 0.456 1
Se4 Se 0.638 0.362 0.544 1
Se5 Se 0.638 0.362 0.956 1
Se6 Se 0.894 0.106 0.750 1
```

Results
- VASP energy: -4.5401 eV per atom
- Magnetization: 0.0 μB per formula unit



# 4
Compound: Ta4GaTe4Se4
Source: the Open Quantum Materials Database
Functional: PBE
Structure: optimized geometry

```
data_Ta4GaTe4Se4
_cell_length_a 7.781
_cell_length_b 7.781
_cell_length_c 7.781
_cell_angle_alpha 60.00
_cell_angle_beta 60.00
_cell_angle_gamma 60.00
_space_group_name_H-M_alt 'P 1'
_space_group_IT_number 1
_space_group_name_Hall 'P 1'
loop_
_atom_site_label
_atom_site_type_symbol
_atom_site_fract_x
_atom_site_fract_y
_atom_site_fract_z
_atom_site_occupancy
Ta1 Ta 0.402 0.402 0.402 1
Ta2 Ta 0.402 0.402 0.793 1
Ta3 Ta 0.402 0.793 0.402 1
Ta4 Ta 0.793 0.402 0.402 1
Ga1 Ga 0.000 0.000 0.000 1
Te1 Te 0.137 0.137 0.137 1
Te2 Te 0.137 0.137 0.589 1
Te3 Te 0.137 0.589 0.137 1
Te4 Te 0.589 0.137 0.137 1
Se1 Se 0.108 0.631 0.631 1
Se2 Se 0.631 0.108 0.631 1
Se3 Se 0.631 0.631 0.108 1
Se4 Se 0.631 0.631 0.631 1
```

Results
- VASP energy: -6.5070 eV per atom
- Magnetization: 0.8 μB per formula unit



# 5
Compound: ZnGa2Te2Se2
Source: the Open Quantum Materials Database
Functional: PBE
Structure: optimized geometry

```
data_ZnGa2Te2Se2
_cell_length_a 5.813
_cell_length_b 5.863
_cell_length_c 7.016
_cell_angle_alpha 113.49
_cell_angle_beta 114.08
_cell_angle_gamma 90.06
_space_group_name_H-M_alt 'P 1'
_space_group_IT_number 1
_space_group_name_Hall 'P 1'
loop_
_atom_site_label
_atom_site_type_symbol
_atom_site_fract_x
_atom_site_fract_y
_atom_site_fract_z
_atom_site_occupancy
Zn1 Zn 0.000 0.000 0.000 1
Ga1 Ga 0.272 0.768 0.498 1
Ga2 Ga 0.500 0.535 0.997 1
Te1 Te 0.098 0.152 0.724 1
Te2 Te 0.869 0.389 0.274 1
Se1 Se 0.396 0.904 0.256 1
Se2 Se 0.633 0.628 0.739 1
```

Results
- VASP energy: -3.4434 eV per atom
- ΔE to the lowest computed polymorph: 0.000 eV/atom



# 6
Compound: ZnGa2Te3Se
Source: the Open Quantum Materials Database
Functional: PBE
Structure: optimized geometry

```
data_ZnGa2Te3Se
_cell_length_a 5.944
_cell_length_b 5.957
_cell_length_c 7.179
_cell_angle_alpha 114.38
_cell_angle_beta 113.36
_cell_angle_gamma 90.95
_space_group_name_H-M_alt 'P 1'
_space_group_IT_number 1
_space_group_name_Hall 'P 1'
loop_
_atom_site_label
_atom_site_type_symbol
_atom_site_fract_x
_atom_site_fract_y
_atom_site_fract_z
_atom_site_occupancy
Zn1 Zn 0.000 0.000 0.000 1
Ga1 Ga 0.520 0.522 0.001 1
Ga2 Ga 0.756 0.280 0.515 1
Te1 Te 0.143 0.117 0.733 1
Te2 Te 0.377 0.878 0.277 1
Te3 Te 0.917 0.422 0.275 1
Se1 Se 0.621 0.642 0.746 1
```

Results
- VASP energy: -3.3302 eV per atom